A plane-wave DFT calculation with GGA-PBE was carried out for a geometry-optimized HPd2RhAu structure.

abc: 3.9814 3.9814 4.1473
angles: 90.00 90.00 90.00
Last column: nearest neighbours and their distance in Å.
Space group P4/mmm (No. 123)
Asymmetric unit:
H 0.0000 0.0000 0.0000 (multiplicity 1)  4 Pd 1.99, 2 Au 2.07
Pd 0.0000 0.5000 0.0000 (multiplicity 2)  2 H 1.99
Rh 0.5000 0.5000 0.5000 (multiplicity 1)  4 Au 2.82, 8 Pd 2.87
Au 0.0000 0.0000 0.5000 (multiplicity 1)  2 H 2.07

Summary:
**DOS(E_F)**: 5.95 states/eV/f.u.
**Calculated density**: 12976 kg/m³
**Relative energy among the computed polymorphs**: 124.2 meV/atom